# TbNd14Sc

A relaxed structure of TbNd14Sc (PBE, Alexandria).

Lattice parameters (Å, degrees): 7.299 7.299 10.305 90.00 90.00 90.00
Sites, in units of the cell vectors:
Tb: 0.000 0.000 0.000
Nd: 0.000 0.000 0.500
Nd: 0.000 0.500 0.000
Nd: 0.000 0.500 0.500
Nd: 0.252 0.252 0.245
Nd: 0.252 0.252 0.755
Nd: 0.252 0.748 0.245
Nd: 0.252 0.748 0.755
Nd: 0.500 0.000 0.000
Nd: 0.500 0.000 0.500
Nd: 0.500 0.500 0.500
Nd: 0.748 0.252 0.245
Nd: 0.748 0.252 0.755
Nd: 0.748 0.748 0.245
Nd: 0.748 0.748 0.755
Sc: 0.500 0.500 0.000

formation energy = 0.022 eV per atom
space group = P4/mmm, No. 123
electronic total energy = -77.355 eV per cell